First-principles (PBE-GGA) data for a relaxed Gd3Ta3W2N12 crystal, as listed in OQMD.

Calculated values
E = -781.20 eV/cell

Cell: 11.1265 11.1265 11.1265 Å, 109.47 109.47 109.47°
With the nearest neighbours (Å) after each atom.
Sites, in units of the cell vectors:
Gd (0.2500, 0.3750, 0.1250)  8 N 2.49-2.58
Gd (0.3750, 0.7500, 0.1250)  8 N 2.49-2.58
Gd (0.3750, 0.1250, 0.2500)  8 N 2.49-2.58
Gd (0.8750, 0.6250, 0.2500)  8 N 2.49-2.58
Gd (0.7500, 0.1250, 0.3750)  8 N 2.49-2.58
Gd (0.1250, 0.2500, 0.3750)  8 N 2.49-2.58
Gd (0.8750, 0.7500, 0.6250)  8 N 2.49-2.58
Gd (0.2500, 0.8750, 0.6250)  8 N 2.49-2.58
Gd (0.1250, 0.3750, 0.7500)  8 N 2.49-2.58
Gd (0.6250, 0.8750, 0.7500)  8 N 2.49-2.58
Gd (0.6250, 0.2500, 0.8750)  8 N 2.49-2.58
Gd (0.7500, 0.6250, 0.8750)  8 N 2.49-2.58
N (0.3241, 0.9062, 0.0228)  1 Ta 1.93, 1 W 2.03
N (0.1987, 0.1166, 0.0228)  1 Ta 1.93, 1 W 2.03
N (0.8834, 0.4062, 0.0821)  1 Ta 1.93, 1 W 2.03
N (0.6987, 0.6759, 0.0821)  1 Ta 1.93, 1 W 2.03
N (0.9772, 0.6759, 0.0938)  1 Ta 1.93, 1 W 2.03
N (0.6166, 0.4179, 0.0938)  1 Ta 1.93, 1 W 2.03
N (0.5938, 0.9179, 0.1166)  1 Ta 1.93, 1 W 2.03
N (0.0228, 0.1987, 0.1166)  1 Ta 1.93, 1 W 2.03
N (0.1987, 0.5821, 0.1759)  1 Ta 1.93, 1 W 2.03
N (0.4772, 0.5938, 0.1759)  1 Ta 1.93, 1 W 2.03
N (0.5821, 0.1759, 0.1987)  1 Ta 1.93, 1 W 2.03
N (0.1166, 0.0228, 0.1987)  1 Ta 1.93, 1 W 2.03
N (0.4772, 0.3834, 0.3013)  1 Ta 1.93, 1 W 2.03
N (0.3241, 0.9179, 0.3013)  1 Ta 1.93, 1 W 2.03
N (0.9062, 0.0228, 0.3241)  1 Ta 1.93, 1 W 2.03
N (0.9179, 0.3013, 0.3241)  1 Ta 1.93, 1 W 2.03
N (0.3013, 0.4772, 0.3834)  1 Ta 1.93, 1 W 2.03
N (0.5821, 0.9062, 0.3834)  1 Ta 1.93, 1 W 2.03
N (0.8241, 0.5228, 0.4062)  1 Ta 1.93, 1 W 2.03
N (0.0821, 0.8834, 0.4062)  1 Ta 1.93, 1 W 2.03
N (0.8241, 0.8013, 0.4179)  1 Ta 1.93, 1 W 2.03
N (0.0938, 0.6166, 0.4179)  1 Ta 1.93, 1 W 2.03
N (0.5938, 0.1759, 0.4772)  1 Ta 1.93, 1 W 2.03
N (0.3834, 0.3013, 0.4772)  1 Ta 1.93, 1 W 2.03
N (0.6166, 0.6987, 0.5228)  1 Ta 1.93, 1 W 2.03
N (0.4062, 0.8241, 0.5228)  1 Ta 1.93, 1 W 2.03
N (0.9062, 0.3834, 0.5821)  1 Ta 1.93, 1 W 2.03
N (0.1759, 0.1987, 0.5821)  1 Ta 1.93, 1 W 2.03
N (0.9179, 0.1166, 0.5938)  1 Ta 1.93, 1 W 2.03
N (0.1759, 0.4772, 0.5938)  1 Ta 1.93, 1 W 2.03
N (0.4179, 0.0938, 0.6166)  1 Ta 1.93, 1 W 2.03
N (0.6987, 0.5228, 0.6166)  1 Ta 1.93, 1 W 2.03
N (0.0821, 0.6987, 0.6759)  1 Ta 1.93, 1 W 2.03
N (0.0938, 0.9772, 0.6759)  1 Ta 1.93, 1 W 2.03
N (0.6759, 0.0821, 0.6987)  1 Ta 1.93, 1 W 2.03
N (0.5228, 0.6166, 0.6987)  1 Ta 1.93, 1 W 2.03
N (0.4179, 0.8241, 0.8013)  1 Ta 1.93, 1 W 2.03
N (0.8834, 0.9772, 0.8013)  1 Ta 1.93, 1 W 2.03
N (0.5228, 0.4062, 0.8241)  1 Ta 1.93, 1 W 2.03
N (0.8013, 0.4179, 0.8241)  1 Ta 1.93, 1 W 2.03
N (0.9772, 0.8013, 0.8834)  1 Ta 1.93, 1 W 2.03
N (0.4062, 0.0821, 0.8834)  1 Ta 1.93, 1 W 2.03
N (0.0228, 0.3241, 0.9062)  1 Ta 1.93, 1 W 2.03
N (0.3834, 0.5821, 0.9062)  1 Ta 1.93, 1 W 2.03
N (0.3013, 0.3241, 0.9179)  1 Ta 1.93, 1 W 2.03
N (0.1166, 0.5938, 0.9179)  1 Ta 1.93, 1 W 2.03
N (0.6759, 0.0938, 0.9772)  1 Ta 1.93, 1 W 2.03
N (0.8013, 0.8834, 0.9772)  1 Ta 1.93, 1 W 2.03
Ta (0.8750, 0.2500, 0.1250)  4 N 1.93
Ta (0.7500, 0.8750, 0.1250)  4 N 1.93
Ta (0.6250, 0.3750, 0.2500)  4 N 1.93
Ta (0.1250, 0.8750, 0.2500)  4 N 1.93
Ta (0.2500, 0.6250, 0.3750)  4 N 1.93
Ta (0.6250, 0.7500, 0.3750)  4 N 1.93
Ta (0.3750, 0.2500, 0.6250)  4 N 1.93
Ta (0.7500, 0.3750, 0.6250)  4 N 1.93
Ta (0.8750, 0.1250, 0.7500)  4 N 1.93
Ta (0.3750, 0.6250, 0.7500)  4 N 1.93
Ta (0.2500, 0.1250, 0.8750)  4 N 1.93
Ta (0.1250, 0.7500, 0.8750)  4 N 1.93
W (0.0000, 0.0000, 0.0000)  6 N 2.03
W (0.5000, 0.0000, 0.0000)  6 N 2.03
W (0.0000, 0.5000, 0.0000)  6 N 2.03
W (0.5000, 0.5000, 0.0000)  6 N 2.03
W (0.0000, 0.0000, 0.5000)  6 N 2.03
W (0.5000, 0.0000, 0.5000)  6 N 2.03
W (0.0000, 0.5000, 0.5000)  6 N 2.03
W (0.5000, 0.5000, 0.5000)  6 N 2.03